An optimized crystal structure of YHRhS2. Source: Alexandria via LeMat-Bulk, functional PBE-GGA. Values from VASP.

Total magnetization ... 0.000 μB per formula unit
Uncorrected energy ... -5.362 eV per atom
DOS(E_F) ... 2.19 states/eV/f.u.

The structure in Quantum ESPRESSO input format:
```
&SYSTEM
  ibrav = 0, nat = 5, ntyp = 4
/
ATOMIC_SPECIES
Y 88.91 Y.upf
H 1.01 H.upf
Rh 102.91 Rh.upf
S 32.06 S.upf
ATOMIC_POSITIONS angstrom
Y 0.000 0.000 0.000
H 0.000 0.000 1.825
Rh 2.241 2.241 0.000
S 0.000 2.241 1.825
S 2.241 0.000 1.825
CELL_PARAMETERS angstrom
4.483 0.000 0.000
0.000 4.483 0.000
0.000 0.000 3.650
```

---

An optimized crystal structure of AcPr2Pb. Source: Alexandria via LeMat-Bulk, functional PBE-GGA. Values from VASP.

Total magnetization ... 0.000 μB per formula unit
Energy of formation from the pure elements ... -13.2 kJ per mole of atoms
ΔE to the lowest computed polymorph ... 0.166 eV/atom
DOS(E_F) ... 7.14 states/eV/f.u.

The structure in Quantum ESPRESSO input format:
```
&SYSTEM
  ibrav = 0, nat = 4, ntyp = 3
/
ATOMIC_SPECIES
Ac 227.00 Ac.upf
Pr 140.91 Pr.upf
Pb 207.20 Pb.upf
ATOMIC_POSITIONS angstrom
Ac 0.000 0.000 0.000
Pr 2.040 2.040 2.040
Pr 6.120 6.120 6.120
Pb 4.080 4.080 4.080
CELL_PARAMETERS angstrom
0.000 4.080 4.080
4.080 0.000 4.080
4.080 4.080 0.000
```

---

An optimized crystal structure of NaHgSe2Br. Source: Alexandria via LeMat-Bulk, functional PBE-GGA. Values from VASP.

Total magnetization ... 3.994 μB per formula unit
ΔE to the lowest computed polymorph ... 0.390 eV/atom
Uncorrected formation energy ... 0.30 eV per atom
DOS(E_F) ... 3.07 states/eV/f.u.

The structure in Quantum ESPRESSO input format:
```
&SYSTEM
  ibrav = 0, nat = 5, ntyp = 4
/
ATOMIC_SPECIES
Na 22.99 Na.upf
Hg 200.59 Hg.upf
Se 78.96 Se.upf
Br 79.90 Br.upf
ATOMIC_POSITIONS angstrom
Na 0.000 0.000 0.000
Hg 2.818 2.818 2.734
Se 0.000 2.818 0.000
Se 2.818 0.000 0.000
Br 0.000 0.000 2.734
CELL_PARAMETERS angstrom
5.635 0.000 0.000
0.000 5.635 0.000
0.000 0.000 5.468
```

---

An optimized crystal structure of Y2TlW. Source: Alexandria via LeMat-Bulk, functional PBE-GGA. Values from VASP.

Total magnetization ... 0.482 μB per formula unit
Energy of formation from the pure elements ... 48.2 kJ per mole of atoms
ΔE to the lowest computed polymorph ... 0.295 eV/atom
DOS(E_F) ... 4.52 states/eV/f.u.

The structure in Quantum ESPRESSO input format:
```
&SYSTEM
  ibrav = 0, nat = 4, ntyp = 3
/
ATOMIC_SPECIES
Y 88.91 Y.upf
Tl 204.38 Tl.upf
W 183.84 W.upf
ATOMIC_POSITIONS angstrom
Y 0.000 0.000 0.000
Y 1.637 1.637 3.079
Tl 0.000 0.000 5.362
W 1.637 1.637 7.276
CELL_PARAMETERS angstrom
3.274 0.000 0.000
0.000 3.274 0.000
0.000 0.000 9.369
```

---

An optimized crystal structure of MnCoSbS2. Source: Alexandria via LeMat-Bulk, functional PBE-GGA. Values from VASP.

Total magnetization ... 1.910 μB per formula unit
Uncorrected formation energy ... 0.49 eV per atom
DOS(E_F) ... 4.14 states/eV/f.u.

The structure in Quantum ESPRESSO input format:
```
&SYSTEM
  ibrav = 0, nat = 5, ntyp = 4
/
ATOMIC_SPECIES
Mn 54.94 Mn.upf
Co 58.93 Co.upf
Sb 121.76 Sb.upf
S 32.06 S.upf
ATOMIC_POSITIONS angstrom
Mn 0.000 0.000 0.000
Co 0.000 0.000 2.229
Sb 2.237 2.237 2.229
S 0.000 2.237 0.000
S 2.237 0.000 0.000
CELL_PARAMETERS angstrom
4.473 0.000 0.000
0.000 4.473 0.000
0.000 0.000 4.457
```

---

An optimized crystal structure of Eu2HgPt. Source: Alexandria via LeMat-Bulk, functional PBE-GGA. Values from VASP.

Total magnetization ... 14.312 μB per formula unit
Energy of formation from the pure elements ... -66.0 kJ per mole of atoms
ΔE to the lowest computed polymorph ... 0.052 eV/atom
DOS(E_F) ... 15.74 states/eV/f.u.

The structure in Quantum ESPRESSO input format:
```
&SYSTEM
  ibrav = 0, nat = 4, ntyp = 3
/
ATOMIC_SPECIES
Eu 151.96 Eu.upf
Hg 200.59 Hg.upf
Pt 195.08 Pt.upf
ATOMIC_POSITIONS angstrom
Eu 1.865 1.865 1.865
Eu 5.594 5.594 5.594
Hg 0.000 0.000 0.000
Pt 3.729 3.729 3.729
CELL_PARAMETERS angstrom
0.000 3.729 3.729
3.729 0.000 3.729
3.729 3.729 0.000
```